Entry 1:
First-principles (meta-GGA SCAN) data for LiGa5O8 at its PBEsol-relaxed geometry, as listed in Alexandria via LeMat-Bulk.

abc: 5.766 5.872 8.192
angles: 90.00 90.00 90.00
Sites, in units of the cell vectors:
O 0.759 0.238 0.511
O 0.759 0.738 0.989
O 0.019 0.000 0.257
Ga 0.243 0.000 0.884
O 0.981 0.500 0.757
Ga 0.243 0.500 0.616
O 0.759 0.262 0.989
O 0.981 0.000 0.743
Li 0.500 0.000 0.500
O 0.492 0.000 0.246
O 0.508 0.500 0.746
Ga 0.757 0.000 0.116
Ga 0.270 0.750 0.250
Ga 0.270 0.250 0.250
O 0.759 0.762 0.511
O 0.019 0.500 0.243
O 0.508 0.000 0.754
Ga 0.000 0.000 0.500
Ga 0.730 0.750 0.750
O 0.241 0.262 0.011
O 0.241 0.238 0.489
Li 0.500 0.500 0.000
O 0.241 0.738 0.011
O 0.492 0.500 0.254
Ga 0.757 0.500 0.384
Ga 0.730 0.250 0.750
O 0.241 0.762 0.489
Ga 0.000 0.500 0.000

Magnetic moment   0.00 μB/f.u.
Energy relative to the elements, uncorrected   -29.829 eV/f.u.
Offset from the most stable computed form   4.8 meV/atom
ρ   5.8 g/cm³

Entry 2:
First-principles (meta-GGA SCAN) data for Sr2TcRu at its PBEsol-relaxed geometry, as listed in Alexandria via LeMat-Bulk.

abc: 5.060 5.060 5.060
angles: 60.00 60.00 60.00
Sites, in units of the cell vectors:
Tc 0.500 0.500 0.500
Ru 0.000 0.000 0.000
Sr 0.750 0.750 0.750
Sr 0.250 0.250 0.250

Magnetic moment   3.49 μB/f.u.
Offset from the most stable computed form   37.7 meV/atom
ρ   6.8 g/cm³

Entry 3:
First-principles (meta-GGA SCAN) data for RbLi2FeSe at its PBEsol-relaxed geometry, as listed in Alexandria via LeMat-Bulk.

abc: 4.948 4.948 5.784
angles: 90.00 90.00 90.00
Sites, in units of the cell vectors:
Li 0.000 0.500 0.000
Rb 0.000 0.000 0.500
Fe 0.000 0.000 0.000
Li 0.500 0.000 0.000
Se 0.500 0.500 0.500

Magnetic moment   3.08 μB/f.u.
Energy relative to the elements, uncorrected   1.895 eV/f.u.
ρ   2.7 g/cm³

Entry 4:
First-principles (meta-GGA SCAN) data for Li2CaPt2 at its PBEsol-relaxed geometry, as listed in Alexandria via LeMat-Bulk.

abc: 2.838 7.417 7.417
angles: 90.00 90.00 90.00
Sites, in units of the cell vectors:
Ca 0.000 0.000 0.000
Li 0.000 0.886 0.614
Li 0.000 0.114 0.386
Li 0.000 0.386 0.886
Pt 0.500 0.680 0.820
Pt 0.500 0.320 0.180
Pt 0.500 0.180 0.680
Pt 0.500 0.820 0.320
Ca 0.000 0.500 0.500
Li 0.000 0.614 0.114

Magnetic moment   0.00 μB/f.u.
ρ   9.4 g/cm³

Entry 5:
First-principles (meta-GGA SCAN) data for ScCuOs at its PBEsol-relaxed geometry, as listed in Alexandria via LeMat-Bulk.

abc: 2.661 4.414 4.414
angles: 120.00 90.00 90.00
Sites, in units of the cell vectors:
Cu 0.953 0.000 0.000
Os 0.732 0.333 0.667
Sc 0.315 0.667 0.333

Magnetic moment   0.00 μB/f.u.
Offset from the most stable computed form   0.0 meV/atom
ρ   11.0 g/cm³

Entry 6:
First-principles (meta-GGA SCAN) data for Sr2AlTcI at its PBEsol-relaxed geometry, as listed in Alexandria via LeMat-Bulk.

abc: 4.741 5.733 5.733
angles: 90.00 90.00 90.00
Sites, in units of the cell vectors:
Sr 0.000 0.500 0.000
Sr 0.000 0.000 0.500
I 0.500 0.500 0.500
Al 0.500 0.000 0.000
Tc 0.000 0.000 0.000

Magnetic moment   0.00 μB/f.u.
Energy relative to the elements, uncorrected   -0.289 eV/f.u.
ρ   4.6 g/cm³

Entry 7:
First-principles (meta-GGA SCAN) data for Co2C2Br at its PBEsol-relaxed geometry, as listed in Alexandria via LeMat-Bulk.

abc: 3.045 3.045 6.331
angles: 103.92 103.92 90.00
Sites, in units of the cell vectors:
C 0.750 0.250 0.500
Co 0.655 0.655 0.310
C 0.250 0.750 0.500
Br 0.000 0.000 0.000
Co 0.345 0.345 0.690

Magnetic moment   0.00 μB/f.u.
Energy relative to the elements, uncorrected   4.654 eV/f.u.
ρ   6.7 g/cm³

Entry 8:
First-principles (meta-GGA SCAN) data for Sc2Tc at its PBEsol-relaxed geometry, as listed in Alexandria via LeMat-Bulk.

abc: 3.251 3.251 5.939
angles: 105.88 105.88 90.00
Sites, in units of the cell vectors:
Tc 0.500 0.500 0.000
Sc 0.136 0.136 0.272
Sc 0.864 0.864 0.728

Magnetic moment   0.00 μB/f.u.
Offset from the most stable computed form   0.0 meV/atom
ρ   5.4 g/cm³

Entry 9:
First-principles (meta-GGA SCAN) data for TeIr2Cl at its PBEsol-relaxed geometry, as listed in Alexandria via LeMat-Bulk.

abc: 2.877 3.003 9.583
angles: 90.00 90.00 118.63
Sites, in units of the cell vectors:
Cl 0.500 0.000 0.798
Ir 0.500 0.000 0.228
Ir 0.000 0.000 0.001
Te 0.000 0.000 0.473

Magnetic moment   0.00 μB/f.u.
Energy relative to the elements, uncorrected   2.300 eV/f.u.
Offset from the most stable computed form   126.3 meV/atom
ρ   12.5 g/cm³

Entry 10:
First-principles (meta-GGA SCAN) data for Li2CuB4Pb2O10 at its PBEsol-relaxed geometry, as listed in Alexandria via LeMat-Bulk.

abc: 4.829 8.650 11.575
angles: 85.65 77.96 73.79
Sites, in units of the cell vectors:
O 0.296 0.649 0.520
O 0.864 0.546 0.853
Li 0.499 0.735 0.634
O 0.175 0.035 0.214
B 0.670 0.481 0.817
Li 0.132 0.235 0.134
Pb 0.290 0.421 0.640
Li 0.868 0.765 0.866
O 0.424 0.465 0.286
O 0.535 0.149 0.020
Pb 0.710 0.579 0.360
O 0.424 0.649 0.122
B 0.968 0.019 0.683
B 0.330 0.519 0.183
O 0.195 0.851 0.378
Pb 0.649 0.921 0.140
B 0.917 0.229 0.520
O 0.576 0.351 0.878
O 0.205 0.195 0.470
O 0.871 0.305 0.030
B 0.083 0.771 0.480
O 0.825 0.965 0.786
O 0.465 0.851 0.980
Cu 0.500 0.000 0.500
Pb 0.351 0.079 0.860
Cu 0.000 0.500 0.000
O 0.704 0.351 0.480
O 0.795 0.805 0.530
Li 0.501 0.265 0.366
B 0.032 0.981 0.317
O 0.576 0.535 0.714
O 0.129 0.695 0.970
O 0.263 0.954 0.647
O 0.805 0.149 0.622
O 0.136 0.454 0.147
B 0.333 0.729 0.020
O 0.737 0.046 0.353
B 0.667 0.271 0.980

Magnetic moment   1.00 μB/f.u.
Energy relative to the elements, uncorrected   -40.629 eV/f.u.
ρ   5.1 g/cm³

Entry 11:
First-principles (meta-GGA SCAN) data for K2AsAuCl6 at its PBEsol-relaxed geometry, as listed in Alexandria via LeMat-Bulk.

abc: 7.177 7.177 7.177
angles: 60.00 60.00 60.00
Sites, in units of the cell vectors:
Au 0.500 0.500 0.500
K 0.250 0.250 0.250
Cl 0.245 0.755 0.245
As 0.000 0.000 0.000
K 0.750 0.750 0.750
Cl 0.755 0.245 0.245
Cl 0.755 0.245 0.755
Cl 0.755 0.755 0.245
Cl 0.245 0.245 0.755
Cl 0.245 0.755 0.755

Magnetic moment   0.00 μB/f.u.
Energy relative to the elements, uncorrected   -11.558 eV/f.u.
ρ   3.6 g/cm³

Entry 12:
First-principles (meta-GGA SCAN) data for Re3Mo2 at its PBEsol-relaxed geometry, as listed in Alexandria via LeMat-Bulk.

abc: 4.988 9.514 9.514
angles: 90.08 90.00 90.00
Sites, in units of the cell vectors:
Re 0.501 0.899 0.899
Re 0.002 0.934 0.739
Mo 0.492 0.500 0.500
Re 0.002 0.739 0.934
Re 0.002 0.066 0.261
Re 0.250 0.817 0.183
Mo 0.501 0.367 0.035
Mo 0.000 0.867 0.464
Re 0.501 0.101 0.101
Re 0.002 0.261 0.066
Mo 0.000 0.536 0.133
Mo 0.000 0.133 0.536
Mo 0.752 0.317 0.317
Re 0.997 0.400 0.600
Re 0.252 0.315 0.315
Re 0.498 0.761 0.433
Mo 0.000 0.000 0.000
Re 0.997 0.600 0.400
Re 0.498 0.433 0.761
Re 0.250 0.183 0.817
Re 0.749 0.817 0.183
Re 0.498 0.567 0.239
Mo 0.752 0.683 0.683
Mo 0.501 0.965 0.633
Mo 0.501 0.633 0.965
Re 0.252 0.685 0.685
Re 0.749 0.183 0.817
Mo 0.000 0.464 0.867
Mo 0.501 0.035 0.367
Re 0.498 0.239 0.567

Magnetic moment   0.00 μB/f.u.
Offset from the most stable computed form   0.0 meV/atom
ρ   16.6 g/cm³

Entry 13:
First-principles (meta-GGA SCAN) data for Cr2TcMo at its PBEsol-relaxed geometry, as listed in Alexandria via LeMat-Bulk.

abc: 2.951 4.196 4.910
angles: 115.29 107.49 90.00
Sites, in units of the cell vectors:
Mo 0.494 0.494 0.989
Cr 0.008 0.008 0.016
Tc 0.254 0.754 0.507
Cr 0.744 0.244 0.488

Magnetic moment   0.00 μB/f.u.
Offset from the most stable computed form   59.9 meV/atom
ρ   9.5 g/cm³

Entry 14:
First-principles (meta-GGA SCAN) data for Mn2ZnMo at its PBEsol-relaxed geometry, as listed in Alexandria via LeMat-Bulk.

abc: 2.582 2.582 9.001
angles: 81.75 81.75 60.00
Sites, in units of the cell vectors:
Zn 0.240 0.240 0.281
Mn 0.826 0.826 0.522
Mn 0.092 0.092 0.724
Mo 0.342 0.342 0.973

Magnetic moment   0.06 μB/f.u.
ρ   8.8 g/cm³

Entry 15:
First-principles (meta-GGA SCAN) data for Na4MgFeP3O12 at its PBEsol-relaxed geometry, as listed in Alexandria via LeMat-Bulk.

abc: 8.746 8.746 8.746
angles: 61.32 61.32 61.32
Sites, in units of the cell vectors:
O 0.208 0.378 0.988
O 0.378 0.988 0.208
O 0.268 0.062 0.918
P 0.453 0.046 0.754
O 0.727 0.931 0.091
O 0.488 0.878 0.708
Fe 0.649 0.649 0.649
Na 0.245 0.885 0.614
Na 0.385 0.745 0.114
O 0.805 0.613 0.013
O 0.418 0.562 0.768
O 0.613 0.013 0.805
Na 0.114 0.385 0.745
P 0.754 0.453 0.046
O 0.227 0.591 0.431
O 0.431 0.227 0.591
P 0.046 0.754 0.453
Na 0.999 0.999 0.999
O 0.708 0.488 0.878
Mg 0.853 0.853 0.853
Na 0.499 0.499 0.499
O 0.562 0.768 0.418
Na 0.885 0.614 0.245
P 0.254 0.546 0.953
O 0.931 0.091 0.727
O 0.878 0.708 0.488
O 0.513 0.113 0.305
O 0.305 0.513 0.113
O 0.591 0.431 0.227
O 0.988 0.208 0.378
O 0.918 0.268 0.062
P 0.953 0.254 0.546
O 0.113 0.305 0.513
O 0.091 0.727 0.931
O 0.013 0.805 0.613
P 0.546 0.953 0.254
Na 0.614 0.245 0.885
O 0.062 0.918 0.268
Na 0.745 0.114 0.385
Mg 0.353 0.353 0.353
Fe 0.149 0.149 0.149
O 0.768 0.418 0.562

Magnetic moment   4.92 μB/f.u.
Energy relative to the elements, uncorrected   -52.449 eV/f.u.
ρ   3.1 g/cm³

Entry 16:
First-principles (meta-GGA SCAN) data for LiSc3Cr at its PBEsol-relaxed geometry, as listed in Alexandria via LeMat-Bulk.

abc: 4.901 4.901 4.901
angles: 90.00 90.00 90.00
Sites, in units of the cell vectors:
Sc 0.000 0.500 0.000
Cr 0.000 0.000 0.000
Li 0.500 0.500 0.500
Sc 0.500 0.000 0.000
Sc 0.000 0.000 0.500

Magnetic moment   1.86 μB/f.u.
ρ   2.7 g/cm³

Entry 17:
First-principles (meta-GGA SCAN) data for ZrMnNi6 at its PBEsol-relaxed geometry, as listed in Alexandria via LeMat-Bulk.

abc: 6.238 6.238 10.211
angles: 90.00 90.00 109.76
Sites, in units of the cell vectors:
Ni 0.135 0.380 0.370
Zr 0.753 0.247 0.500
Ni 0.380 0.135 0.370
Mn 0.757 0.243 0.000
Zr 0.000 0.000 0.245
Ni 0.865 0.620 0.370
Ni 0.000 0.000 0.500
Ni 0.000 0.000 0.000
Ni 0.615 0.870 0.120
Mn 0.500 0.500 0.244
Ni 0.254 0.746 0.757
Zr 0.247 0.753 0.500
Zr 0.000 0.000 0.755
Mn 0.500 0.500 0.756
Ni 0.380 0.135 0.630
Ni 0.620 0.865 0.630
Ni 0.870 0.615 0.880
Ni 0.135 0.380 0.630
Ni 0.254 0.746 0.243
Ni 0.870 0.615 0.120
Ni 0.385 0.130 0.120
Ni 0.865 0.620 0.630
Ni 0.500 0.500 0.000
Ni 0.615 0.870 0.880
Ni 0.746 0.254 0.757
Ni 0.500 0.500 0.500
Ni 0.130 0.385 0.120
Ni 0.385 0.130 0.880
Ni 0.130 0.385 0.880
Ni 0.620 0.865 0.370
Mn 0.243 0.757 0.000
Ni 0.746 0.254 0.243

Magnetic moment   5.60 μB/f.u.
ρ   8.9 g/cm³

Entry 18:
First-principles (meta-GGA SCAN) data for Al2TcOs at its PBEsol-relaxed geometry, as listed in Alexandria via LeMat-Bulk.

abc: 2.748 2.748 8.147
angles: 90.00 90.00 114.01
Sites, in units of the cell vectors:
Al 0.000 0.000 0.749
Al 0.000 0.000 0.251
Os 0.500 0.500 0.500
Tc 0.500 0.500 0.000

Magnetic moment   0.00 μB/f.u.
ρ   10.1 g/cm³

Entry 19:
First-principles (meta-GGA SCAN) data for K3GaF6 at its PBEsol-relaxed geometry, as listed in Alexandria via LeMat-Bulk.

abc: 6.154 6.154 6.154
angles: 60.00 60.00 60.00
Sites, in units of the cell vectors:
F 0.218 0.218 0.782
F 0.782 0.782 0.218
F 0.782 0.218 0.218
Ga 0.000 0.000 0.000
K 0.250 0.250 0.250
F 0.218 0.782 0.782
F 0.782 0.218 0.782
F 0.218 0.782 0.218
K 0.500 0.500 0.500
K 0.750 0.750 0.750

Magnetic moment   0.00 μB/f.u.
Energy relative to the elements, uncorrected   -29.795 eV/f.u.
ρ   3.0 g/cm³

Entry 20:
First-principles (meta-GGA SCAN) data for GaSi2H at its PBEsol-relaxed geometry, as listed in Alexandria via LeMat-Bulk.

abc: 4.135 4.135 7.292
angles: 106.47 106.47 90.00
Sites, in units of the cell vectors:
Ga 0.250 0.750 0.500
Si 0.625 0.528 0.750
Ga 0.000 0.000 0.000
Si 0.778 0.375 0.250
H 0.500 0.500 0.000
Si 0.125 0.222 0.750
H 0.750 0.250 0.500
Si 0.472 0.875 0.250

Magnetic moment   0.00 μB/f.u.
ρ   3.7 g/cm³

no.,total energy (eV per atom),DOS at the Fermi energy (states/eV per atom)
1,-11.70,0.00
2,-27.51,0.69
3,-12.37,0.21
4,-31.70,0.22
5,-33.78,0.88
6,-24.88,0.54
7,-13.92,0.46
8,-21.43,0.97
9,-46.28,0.88
10,-16.01,0.00
11,-16.54,0.05
12,-56.58,0.70
13,-26.63,0.89
14,-20.89,0.80
15,-9.45,0.00
16,-12.31,0.54
17,-18.56,0.58
18,-30.89,0.74
19,-9.24,0.00
20,-9.47,0.15